The following is a DFT calculation (PBE with a Hubbard U) of crystalline BaNiS2F at its relaxed geometry.

Unit cell a=5.530 b=5.530 c=3.699 alpha=90.00 beta=90.00 gamma=90.00
Fractional positions:
Ba 0.000 0.000 0.000
Ni 0.500 0.500 0.000
S 0.000 0.500 0.500
S 0.500 0.000 0.500
F 0.500 0.500 0.500

Calculated values
As for the density of states at the Fermi level: 2.5 states/eV/f.u. Its crystal system is tetragonal. The calculation puts the uncorrected energy at -0.133 Ha/atom.